i.
# Mn2HBr

A PBEsol-optimized structure of Mn2HBr (SCAN, the Alexandria database).

Results
M_tot: 2.000 μB/atom
calculated volume: 13.70 Å³ per atom

a = 5.976 Å, b = 5.976 Å, c = 6.141 Å
α = 90.00°, β = 90.00°, γ = 90.00°
Space group I-42d (No. 122)
Inequivalent atoms, fractional coordinates:
1 Mn 0.129 0.750 0.125 x8
2 H 0.000 0.000 0.000 x4
3 Br 0.000 0.000 0.500 x4

***

ii.
# Mn2HBr

A PBEsol-optimized structure of Mn2HBr (SCAN, the Alexandria database).

Results
M_tot: 1.815 μB/atom
calculated volume: 10.31 Å³ per atom

a = 5.485 Å, b = 5.485 Å, c = 5.485 Å
α = 90.00°, β = 90.00°, γ = 90.00°
Space group Fm-3m (No. 225)
Inequivalent atoms, fractional coordinates:
1 Mn 0.250 0.250 0.250 x8
2 H 0.000 0.000 0.000 x4
3 Br 0.000 0.000 0.500 x4

***

Which structure is the least stable? The one labeled ii.

***

i.
# Na2HBr

A PBEsol-optimized structure of Na2HBr (SCAN, the Alexandria database).

Results
M_tot: 0.000 μB/atom
calculated volume: 19.66 Å³ per atom

a = 6.801 Å, b = 6.801 Å, c = 6.801 Å
α = 90.00°, β = 90.00°, γ = 90.00°
Space group Fm-3m (No. 225)
Inequivalent atoms, fractional coordinates:
1 Na 0.250 0.250 0.250 x8
2 H 0.000 0.000 0.000 x4
3 Br 0.000 0.000 0.500 x4

***

ii.
# Na2HBr

A PBEsol-optimized structure of Na2HBr (SCAN, the Alexandria database).

Results
M_tot: 0.007 μB/atom
calculated volume: 21.37 Å³ per atom

a = 6.611 Å, b = 6.611 Å, c = 7.822 Å
α = 90.00°, β = 90.00°, γ = 90.00°
Space group I-42d (No. 122)
Inequivalent atoms, fractional coordinates:
1 Na 0.171 0.250 0.125 x8
2 H 0.000 0.000 0.000 x4
3 Br 0.000 0.000 0.500 x4

***

Which structure is the least stable? The one labeled i.

***

i.
# ScHSeBr2

A PBEsol-optimized structure of ScHSeBr2 (SCAN, the Alexandria database).

Results
M_tot: 0.081 μB/atom
calculated volume: 18.37 Å³ per atom

a = 5.064 Å, b = 5.064 Å, c = 3.581 Å
α = 90.00°, β = 90.00°, γ = 90.00°
Space group P4/mmm (No. 123)
Inequivalent atoms, fractional coordinates:
1 Sc 0.000 0.000 0.000 x1
2 H 0.500 0.500 0.500 x1
3 Se 0.500 0.500 0.000 x1
4 Br 0.000 0.500 0.500 x2

***

ii.
# ScHSeBr2

A PBEsol-optimized structure of ScHSeBr2 (SCAN, the Alexandria database).

Results
M_tot: 0.001 μB/atom
calculated volume: 28.14 Å³ per atom

a = 5.232 Å, b = 5.232 Å, c = 5.141 Å
α = 90.00°, β = 90.00°, γ = 90.00°
Space group P4/mmm (No. 123)
Inequivalent atoms, fractional coordinates:
1 Sc 0.000 0.000 0.000 x1
2 H 0.500 0.500 0.500 x1
3 Se 0.000 0.000 0.500 x1
4 Br 0.000 0.500 0.000 x2

***

Which structure is the least stable? The one labeled i.

***

i.
# TcHSeBr2

A PBEsol-optimized structure of TcHSeBr2 (SCAN, the Alexandria database).

Results
M_tot: 0.742 μB/atom
calculated volume: 18.51 Å³ per atom

a = 5.195 Å, b = 5.195 Å, c = 3.429 Å
α = 90.00°, β = 90.00°, γ = 90.00°
Space group P4/mmm (No. 123)
Inequivalent atoms, fractional coordinates:
1 Tc 0.000 0.000 0.000 x1
2 H 0.500 0.500 0.500 x1
3 Se 0.500 0.500 0.000 x1
4 Br 0.000 0.500 0.500 x2

***

ii.
# TcHSeBr2

A PBEsol-optimized structure of TcHSeBr2 (SCAN, the Alexandria database).

Results
M_tot: 0.632 μB/atom
calculated volume: 24.65 Å³ per atom

a = 5.149 Å, b = 5.149 Å, c = 4.648 Å
α = 90.00°, β = 90.00°, γ = 90.00°
Space group P4/mmm (No. 123)
Inequivalent atoms, fractional coordinates:
1 Tc 0.000 0.000 0.000 x1
2 H 0.500 0.500 0.500 x1
3 Se 0.000 0.000 0.500 x1
4 Br 0.000 0.500 0.000 x2

***

Which structure is the least stable? The one labeled i.

***

i.
# TaH2Br

A PBEsol-optimized structure of TaH2Br (SCAN, the Alexandria database).

Results
M_tot: 0.000 μB/atom
calculated volume: 11.72 Å³ per atom

a = 5.857 Å, b = 5.857 Å, c = 5.465 Å
α = 90.00°, β = 90.00°, γ = 90.00°
Space group I-42d (No. 122)
Inequivalent atoms, fractional coordinates:
1 Ta 0.000 0.000 0.000 x4
2 H 0.151 0.250 0.125 x8
3 Br 0.000 0.000 0.500 x4

***

ii.
# TaH2Br

A PBEsol-optimized structure of TaH2Br (SCAN, the Alexandria database).

Results
M_tot: 0.401 μB/atom
calculated volume: 10.83 Å³ per atom

a = 5.575 Å, b = 5.575 Å, c = 5.575 Å
α = 90.00°, β = 90.00°, γ = 90.00°
Space group Fm-3m (No. 225)
Inequivalent atoms, fractional coordinates:
1 Ta 0.000 0.000 0.000 x4
2 H 0.250 0.250 0.250 x8
3 Br 0.000 0.000 0.500 x4

***

Which structure is the least stable? The one labeled ii.

***

i.
# HfS2Br

A PBEsol-optimized structure of HfS2Br (SCAN, the Alexandria database).

Results
M_tot: 0.000 μB/atom
calculated volume: 22.39 Å³ per atom

a = 3.6116 Å, b = 3.6116 Å, c = 23.7864 Å
α = 90.00°, β = 90.00°, γ = 120.00°
Space group R-3m (No. 166, hexagonal axes)
Inequivalent atoms, fractional coordinates:
1 Hf 0.0000 0.0000 0.0000 x3
2 S 0.0000 0.0000 0.3941 x6
3 Br 0.0000 0.0000 0.5000 x3

***

ii.
# HfS2Br

A PBEsol-optimized structure of HfS2Br (SCAN, the Alexandria database).

Results
M_tot: 0.000 μB/atom
calculated volume: 17.51 Å³ per atom

a = 6.544 Å, b = 6.544 Å, c = 6.544 Å
α = 90.00°, β = 90.00°, γ = 90.00°
Space group Fm-3m (No. 225)
Inequivalent atoms, fractional coordinates:
1 Hf 0.000 0.000 0.000 x4
2 S 0.250 0.250 0.250 x8
3 Br 0.000 0.000 0.500 x4

***

Which structure is the least stable? The one labeled ii.

***

i.
# HfScBr2

A PBEsol-optimized structure of HfScBr2 (SCAN, the Alexandria database).

Results
M_tot: 0.157 μB/atom
calculated volume: 22.41 Å³ per atom

a = 3.3169 Å, b = 3.3169 Å, c = 28.2219 Å
α = 90.00°, β = 90.00°, γ = 120.00°
Space group R-3m (No. 166, hexagonal axes)
Inequivalent atoms, fractional coordinates:
1 Hf 0.0000 0.0000 0.0000 x3
2 Sc 0.0000 0.0000 0.5000 x3
3 Br 0.0000 0.0000 0.4029 x6

***

ii.
# HfScBr2

A PBEsol-optimized structure of HfScBr2 (SCAN, the Alexandria database).

Results
M_tot: 0.000 μB/atom
calculated volume: 18.82 Å³ per atom

a = 6.702 Å, b = 6.702 Å, c = 6.702 Å
α = 90.00°, β = 90.00°, γ = 90.00°
Space group Fm-3m (No. 225)
Inequivalent atoms, fractional coordinates:
1 Hf 0.000 0.000 0.000 x4
2 Sc 0.000 0.000 0.500 x4
3 Br 0.250 0.250 0.250 x8

***

Which structure is the least stable? The one labeled ii.

***

i.
# HgBr5

A PBEsol-optimized structure of HgBr5 (SCAN, the Alexandria database).

Results
M_tot: 0.000 μB/atom
calculated volume: 32.32 Å³ per atom

a = 14.838 Å, b = 3.808 Å, c = 7.120 Å
α = 90.00°, β = 105.45°, γ = 90.00°
Space group Cm (No. 8)
Inequivalent atoms, fractional coordinates:
1 Hg 0.000 0.000 0.000 x2
2 Br 0.032 0.500 0.277 x2
3 Br 0.033 0.500 0.759 x2
4 Br 0.270 0.000 0.206 x2
5 Br 0.271 0.000 0.536 x2
6 Br 0.300 0.500 0.886 x2

***

ii.
# HgBr5

A PBEsol-optimized structure of HgBr5 (SCAN, the Alexandria database).

Results
M_tot: 0.000 μB/atom
calculated volume: 29.52 Å³ per atom

a = 3.922 Å, b = 12.463 Å, c = 7.246 Å
α = 90.00°, β = 90.00°, γ = 90.00°
Space group Cmmm (No. 65)
Inequivalent atoms, fractional coordinates:
1 Hg 0.000 0.000 0.000 x2
2 Br 0.000 0.168 0.500 x4
3 Br 0.000 0.354 0.000 x4
4 Br 0.000 0.500 0.500 x2

***

iii.
# HgBr5

A PBEsol-optimized structure of HgBr5 (SCAN, the Alexandria database).

Results
M_tot: 0.066 μB/atom
calculated volume: 30.74 Å³ per atom

a = 5.3412 Å, b = 5.3412 Å, c = 7.4643 Å
α = 90.00°, β = 90.00°, γ = 120.00°
Space group P-62m (No. 189)
Inequivalent atoms, fractional coordinates:
1 Hg 0.0000 0.0000 0.0000 x1
2 Br 0.0000 0.5767 0.5000 x3
3 Br 0.3333 0.6667 0.0000 x2

***

Which structure is the least stable? The one labeled iii.

***

i.
# HgBr

A PBEsol-optimized structure of HgBr (SCAN, the Alexandria database).

Results
M_tot: 0.000 μB/atom
calculated volume: 26.53 Å³ per atom

a = 5.588 Å, b = 10.421 Å, c = 3.645 Å
α = 90.00°, β = 90.00°, γ = 90.00°
Space group Cmcm (No. 63)
Inequivalent atoms, fractional coordinates:
1 Hg 0.000 0.101 0.250 x4
2 Br 0.000 0.349 0.250 x4

***

ii.
# HgBr

A PBEsol-optimized structure of HgBr (SCAN, the Alexandria database).

Results
M_tot: 0.000 μB/atom
calculated volume: 29.36 Å³ per atom

a = 4.579 Å, b = 4.579 Å, c = 11.204 Å
α = 90.00°, β = 90.00°, γ = 90.00°
Space group I4/mmm (No. 139)
Inequivalent atoms, fractional coordinates:
1 Hg 0.000 0.000 0.116 x4
2 Br 0.000 0.000 0.346 x4

***

Which structure is the least stable? The one labeled i.

***

i.
# Hg3Br

A PBEsol-optimized structure of Hg3Br (SCAN, the Alexandria database).

Results
M_tot: 0.000 μB/atom
calculated volume: 27.36 Å³ per atom

a = 8.1451 Å, b = 8.1451 Å, c = 7.6194 Å
α = 90.00°, β = 90.00°, γ = 120.00°
Space group P6_3/mmc (No. 194)
Inequivalent atoms, fractional coordinates:
1 Hg 0.0000 0.5000 0.0000 x6
2 Hg 0.1788 0.3576 0.2500 x6
3 Br 0.0000 0.0000 0.0000 x2
4 Br 0.3333 0.6667 0.7500 x2

***

ii.
# Hg3Br

A PBEsol-optimized structure of Hg3Br (SCAN, the Alexandria database).

Results
M_tot: 0.000 μB/atom
calculated volume: 26.13 Å³ per atom

a = 3.910 Å, b = 6.017 Å, c = 8.885 Å
α = 90.00°, β = 90.00°, γ = 90.00°
Space group Immm (No. 71)
Inequivalent atoms, fractional coordinates:
1 Hg 0.000 0.000 0.000 x2
2 Hg 0.000 0.500 0.260 x4
3 Br 0.000 0.000 0.500 x2

***

Which structure is the least stable? The one labeled i.

***

i.
# Hg3Br

A PBEsol-optimized structure of Hg3Br (SCAN, the Alexandria database).

Results
M_tot: 0.000 μB/atom
calculated volume: 27.38 Å³ per atom

a = 6.807 Å, b = 17.495 Å, c = 3.679 Å
α = 90.00°, β = 90.00°, γ = 90.00°
Space group Cmcm (No. 63)
Inequivalent atoms, fractional coordinates:
1 Hg 0.000 0.066 0.250 x4
2 Hg 0.208 0.190 0.750 x8
3 Br 0.000 0.416 0.250 x4

***

ii.
# Hg3Br

A PBEsol-optimized structure of Hg3Br (SCAN, the Alexandria database).

Results
M_tot: 0.000 μB/atom
calculated volume: 57.81 Å³ per atom

a = 6.138 Å, b = 6.138 Å, c = 6.138 Å
α = 90.00°, β = 90.00°, γ = 90.00°
Space group Pm-3m (No. 221)
Inequivalent atoms, fractional coordinates:
1 Hg 0.000 0.000 0.500 x3
2 Br 0.000 0.000 0.000 x1

***

Which structure is the least stable? The one labeled ii.

***

i.
# Hg5Br

A PBEsol-optimized structure of Hg5Br (SCAN, the Alexandria database).

Results
M_tot: 0.000 μB/atom
calculated volume: 25.87 Å³ per atom

a = 12.447 Å, b = 4.100 Å, c = 6.257 Å
α = 90.00°, β = 103.50°, γ = 90.00°
Space group Cm (No. 8)
Inequivalent atoms, fractional coordinates:
1 Hg 0.000 0.000 0.000 x2
2 Hg 0.019 0.000 0.521 x2
3 Hg 0.141 0.500 0.309 x2
4 Hg 0.159 0.500 0.830 x2
5 Hg 0.330 0.000 0.915 x2
6 Br 0.330 0.000 0.415 x2

***

ii.
# Hg5Br

A PBEsol-optimized structure of Hg5Br (SCAN, the Alexandria database).

Results
M_tot: 0.000 μB/atom
calculated volume: 24.42 Å³ per atom

a = 3.648 Å, b = 3.648 Å, c = 11.011 Å
α = 90.00°, β = 90.00°, γ = 90.00°
Space group P4/mmm (No. 123)
Inequivalent atoms, fractional coordinates:
1 Hg 0.000 0.000 0.000 x1
2 Hg 0.000 0.000 0.325 x2
3 Hg 0.500 0.500 0.170 x2
4 Br 0.500 0.500 0.500 x1

***

iii.
# Hg5Br

A PBEsol-optimized structure of Hg5Br (SCAN, the Alexandria database).

Results
M_tot: 0.000 μB/atom
calculated volume: 26.84 Å³ per atom

a = 3.962 Å, b = 3.702 Å, c = 21.961 Å
α = 90.00°, β = 90.00°, γ = 90.00°
Space group Amm2 (No. 38)
Inequivalent atoms, fractional coordinates:
1 Hg 0.000 0.000 0.000 x2
2 Hg 0.000 0.000 0.265 x2
3 Hg 0.000 0.000 0.658 x2
4 Hg 0.500 0.000 0.097 x2
5 Hg 0.500 0.000 0.819 x2
6 Br 0.500 0.000 0.426 x2

***

Which structure is the least stable? The one labeled ii.

***

i.
# Hg2Br

A PBEsol-optimized structure of Hg2Br (SCAN, the Alexandria database).

Results
M_tot: 0.000 μB/atom
calculated volume: 27.07 Å³ per atom

a = 4.0971 Å, b = 4.0971 Å, c = 11.1720 Å
α = 90.00°, β = 90.00°, γ = 120.00°
Space group P6_3/mmc (No. 194)
Inequivalent atoms, fractional coordinates:
1 Hg 0.3333 0.6667 0.0719 x4
2 Br 0.0000 0.0000 0.2500 x2

***

ii.
# Hg2Br

A PBEsol-optimized structure of Hg2Br (SCAN, the Alexandria database).

Results
M_tot: 0.000 μB/atom
calculated volume: 26.92 Å³ per atom

a = 4.1087 Å, b = 4.1087 Å, c = 5.5246 Å
α = 90.00°, β = 90.00°, γ = 120.00°
Space group P-3m1 (No. 164)
Inequivalent atoms, fractional coordinates:
1 Hg 0.3333 0.6667 0.3544 x2
2 Br 0.0000 0.0000 0.0000 x1

***

Which structure is the least stable? The one labeled i.